# LiCl2 GGA-PBE optimized geometry
# * energy relative to the elements, uncorrected: -1.64 eV/f.u.
# * magnetization: 0.00 μB/atom
# * excess energy over the best structure of this formula in the dataset: 1.94 eV per formula unit
# * DOS at the Fermi energy: 0.60 states/eV/atom
# * V: 71 Å³/cell
data_LiCl2
_chemical_formula_sum 'Li1 Cl2'
_space_group_name_H-M_alt 'P 1'
_space_group_IT_number 1
_cell_length_a 4.775
_cell_length_b 4.775
_cell_length_c 3.601
_cell_angle_alpha 90.00
_cell_angle_beta 90.00
_cell_angle_gamma 120.00
loop_
_space_group_symop_operation_xyz
'x,y,z'
loop_
_atom_site_label
_atom_site_type_symbol
_atom_site_fract_x
_atom_site_fract_y
_atom_site_fract_z
Li1 Li 0.000 0.000 0.000
Cl1 Cl 0.333 0.667 0.500
Cl2 Cl 0.667 0.333 0.500

=====

# Ac2AlSb GGA-PBE optimized geometry
# * energy relative to the elements, uncorrected: -0.04 eV/f.u.
# * magnetization: 0.00 μB/atom
# * excess energy over the best structure of this formula in the dataset: 2.24 eV per formula unit
# * DOS at the Fermi energy: 1.05 states/eV/atom
# * V: 533 Å³/cell
data_Ac2AlSb
_chemical_formula_sum 'Ac6 Al3 Sb3'
_space_group_name_H-M_alt 'P 1'
_space_group_IT_number 1
_cell_length_a 4.336
_cell_length_b 4.336
_cell_length_c 32.730
_cell_angle_alpha 90.00
_cell_angle_beta 90.00
_cell_angle_gamma 120.00
loop_
_space_group_symop_operation_xyz
'x,y,z'
loop_
_atom_site_label
_atom_site_type_symbol
_atom_site_fract_x
_atom_site_fract_y
_atom_site_fract_z
Ac1 Ac 0.000 0.000 0.103
Ac2 Ac 0.000 0.000 0.897
Ac3 Ac 0.333 0.667 0.564
Ac4 Ac 0.333 0.667 0.769
Ac5 Ac 0.667 0.333 0.231
Ac6 Ac 0.667 0.333 0.436
Al1 Al 0.000 0.000 0.000
Al2 Al 0.333 0.667 0.667
Al3 Al 0.667 0.333 0.333
Sb1 Sb 0.000 0.000 0.500
Sb2 Sb 0.333 0.667 0.167
Sb3 Sb 0.667 0.333 0.833

=====

# UFeW GGA-PBE optimized geometry
# * formation enthalpy at 0 K: 0.167 eV per atom
# * magnetization: 0.00 μB/atom
# * DOS at the Fermi energy: 0.79 states/eV/atom
# * V: 96 Å³/cell
data_UFeW
_chemical_formula_sum 'U2 Fe2 W2'
_space_group_name_H-M_alt 'P 1'
_space_group_IT_number 1
_cell_length_a 2.855
_cell_length_b 2.855
_cell_length_c 11.818
_cell_angle_alpha 90.00
_cell_angle_beta 90.00
_cell_angle_gamma 90.00
loop_
_space_group_symop_operation_xyz
'x,y,z'
loop_
_atom_site_label
_atom_site_type_symbol
_atom_site_fract_x
_atom_site_fract_y
_atom_site_fract_z
U1 U 0.000 0.000 0.000
U2 U 0.500 0.500 0.500
Fe1 Fe 0.000 0.000 0.669
Fe2 Fe 0.500 0.500 0.169
W1 W 0.000 0.000 0.301
W2 W 0.500 0.500 0.801

=====

# La2ScCrSb GGA-PBE optimized geometry
# * energy relative to the elements, uncorrected: 2.64 eV/f.u.
# * magnetization: 0.54 μB/atom
# * DOS at the Fermi energy: 1.22 states/eV/atom
# * V: 151 Å³/cell
data_La2ScCrSb
_chemical_formula_sum 'La2 Sc1 Cr1 Sb1'
_space_group_name_H-M_alt 'P 1'
_space_group_IT_number 1
_cell_length_a 5.676
_cell_length_b 5.676
_cell_length_c 4.684
_cell_angle_alpha 90.00
_cell_angle_beta 90.00
_cell_angle_gamma 90.00
loop_
_space_group_symop_operation_xyz
'x,y,z'
loop_
_atom_site_label
_atom_site_type_symbol
_atom_site_fract_x
_atom_site_fract_y
_atom_site_fract_z
La1 La 0.000 0.500 0.000
La2 La 0.500 0.000 0.000
Sc1 Sc 0.000 0.000 0.000
Cr1 Cr 0.000 0.000 0.500
Sb1 Sb 0.500 0.500 0.500